Record 1
KSr2TbCl8 after structural relaxation, computed with PBE.

The uncorrected formation energy comes out at -2.3197 eV/atom. Its crystal system is monoclinic.

Cell and atoms, written as extended XYZ:
```
12
Lattice="6.5595 0.0000 0.0000 0.0000 9.0359 0.0000 -0.0012 0.0000 6.7701" Properties=species:S:1:pos:R:3 pbc="T T T"
K 0.0000 0.0000 0.0000
Sr 3.2791 2.2628 3.3850
Sr 3.2791 6.7731 3.3850
Tb 0.0000 4.5180 0.0000
Cl 1.4426 2.5947 1.1297
Cl 1.4426 6.4412 1.1297
Cl 1.7248 4.5180 4.6532
Cl 1.8090 0.0000 4.3477
Cl 4.7493 0.0000 2.4224
Cl 4.8335 4.5180 2.1169
Cl 5.1156 2.5947 5.6404
Cl 5.1156 6.4412 5.6404
```

Record 2
KSr2TiCl8 after structural relaxation, computed with PBE.

The uncorrected formation energy comes out at -2.0442 eV/atom. Its crystal system is monoclinic.

Cell and atoms, written as extended XYZ:
```
12
Lattice="6.3768 0.0000 0.0000 0.0000 8.8647 0.0000 -0.0189 0.0000 6.6011" Properties=species:S:1:pos:R:3 pbc="T T T"
K 0.0000 0.0000 0.0000
Sr 3.1789 2.2681 3.3005
Sr 3.1789 6.5966 3.3005
Ti 0.0000 4.4323 0.0000
Cl 1.3598 2.6994 1.0261
Cl 1.3598 6.1653 1.0261
Cl 1.5334 4.4323 4.6097
Cl 1.7158 0.0000 4.2047
Cl 4.6421 0.0000 2.3964
Cl 4.8245 4.4323 1.9914
Cl 4.9981 2.6994 5.5750
Cl 4.9981 6.1653 5.5750
```

Record 3
KSr2TlCl6 after structural relaxation, computed with PBE.

The uncorrected formation energy comes out at -2.0806 eV/atom. Its crystal system is trigonal.

Cell and atoms, written as extended XYZ:
```
10
Lattice="3.8856 2.2434 6.6142 -3.8856 2.2434 6.6142 0.0000 -4.4867 6.6142" Properties=species:S:1:pos:R:3 pbc="T T T"
K 0.0000 0.0000 0.0000
Sr 0.0000 0.0000 4.2425
Sr 0.0000 0.0000 14.1436
Tl 0.0000 0.0000 9.8910
Cl -3.1063 0.1258 8.9887
Cl -0.8567 -2.1142 12.2906
Cl 1.4442 -2.7530 8.9887
Cl -1.4026 1.7991 12.2906
Cl 1.6621 2.6272 8.9887
Cl 2.2594 0.3152 12.2906
```

Record 4
KSrTl2Cl8 after structural relaxation, computed with PBE.

The uncorrected formation energy comes out at -1.2533 eV/atom. Its crystal system is trigonal.

Cell and atoms, written as extended XYZ:
```
12
Lattice="7.0564 0.0000 0.0000 -3.5282 6.1110 0.0000 0.0000 0.0000 10.0163" Properties=species:S:1:pos:R:3 pbc="T T T"
K 0.0000 0.0000 0.0000
Sr 0.0000 0.0000 5.0081
Tl 0.0000 4.0740 7.6030
Tl 3.5282 2.0370 2.4132
Cl -2.3352 4.2484 3.1218
Cl 1.0166 1.9644 3.1218
Cl 2.2095 0.1018 6.8945
Cl 0.0000 4.0740 0.0966
Cl 3.5282 2.0370 9.9197
Cl 1.3186 6.0092 3.1218
Cl 2.5116 4.1466 6.8945
Cl 5.8634 1.8626 6.8945
```

Record 5
KSrTl2Cl5 after structural relaxation, computed with PBE.

The uncorrected formation energy comes out at -1.6864 eV/atom. Its crystal system is orthorhombic.

Cell and atoms, written as extended XYZ:
```
18
Lattice="2.2191 -9.2406 0.0000 2.2191 9.2406 0.0000 0.0000 0.0000 16.0562" Properties=species:S:1:pos:R:3 pbc="T T T"
K 2.2191 8.3125 8.0281
K 2.2191 -8.3125 0.0000
Sr 2.2191 4.5444 1.4123
Sr 2.2191 -4.5444 9.4404
Tl 2.2191 2.6188 5.0922
Tl 2.2191 1.2120 11.4878
Tl 2.2191 -1.2120 3.4597
Tl 2.2191 -2.6188 13.1203
Cl 2.2191 8.7960 13.3217
Cl 2.2191 7.3970 1.3153
Cl 2.2191 5.1395 7.5829
Cl 2.2191 4.5402 11.3972
Cl 2.2191 1.6889 1.9836
Cl 2.2191 -1.6889 10.0117
Cl 2.2191 -4.5402 3.3691
Cl 2.2191 -5.1395 15.6110
Cl 2.2191 -7.3970 9.3434
Cl 2.2191 -8.7960 5.2936
```

Record 6
KSrTlCl4 after structural relaxation, computed with PBE.

The uncorrected formation energy comes out at -1.8483 eV/atom. Its crystal system is tetragonal.

Cell and atoms, written as extended XYZ:
```
7
Lattice="-2.8186 2.8186 8.1210 2.8186 -2.8186 8.1210 2.8186 2.8186 -8.1210" Properties=species:S:1:pos:R:3 pbc="T T T"
K 0.0000 0.0000 0.0000
Sr 0.0000 0.0000 5.8878
Tl 0.0000 0.0000 11.6018
Cl 0.0000 0.0000 3.0602
Cl 2.8186 0.0000 6.1313
Cl 0.0000 0.0000 8.8067
Cl 0.0000 2.8186 6.1313
```